Below is a relaxed AcLaDy2Se6 crystal, with properties calculated at the GGA-PBE level.

Output
- SG: R3, No. 146
- Calculated density: 6.10 g cm⁻³
- Raw formation energy: -185.3 kJ/mol of atoms

Structure (CIF):
```
data_AcLaDy2Se6
_chemical_formula_sum 'Ac1 La1 Dy2 Se6'
_space_group_name_H-M_alt 'P 1'
_space_group_IT_number 1
_cell_length_a 7.505
_cell_length_b 7.505
_cell_length_c 7.808
_cell_angle_alpha 61.29
_cell_angle_beta 61.29
_cell_angle_gamma 60.01
loop_
_space_group_symop_operation_xyz
'x,y,z'
loop_
_atom_site_label
_atom_site_fract_x
_atom_site_fract_y
_atom_site_fract_z
_atom_site_occupancy
Ac1 0.805 0.805 0.586 1
La1 0.310 0.310 0.070 1
Dy1 0.516 0.516 0.452 1
Dy2 0.013 0.013 0.960 1
Se1 0.635 0.234 0.241 1
Se2 0.234 0.890 0.241 1
Se3 0.890 0.635 0.241 1
Se4 0.375 0.733 0.742 1
Se5 0.732 0.150 0.742 1
Se6 0.150 0.375 0.742 1
```